This record from Alexandria via LeMat-Bulk describes a relaxed structure of RbZn3Ni. The functional is GGA-PBE.

POSCAR file:
```
RbZn3Ni
1.0
-2.4686 -1.5457 -5.9382
5.3729 -3.6360 -1.2872
-2.9636 -5.3043 2.6127
Ni Zn Rb
1 3 1
Direct
0.5000 0.5000 0.5000
0.0000 0.5000 0.0000
0.0000 0.0000 0.5000
0.5000 0.0000 0.0000
0.0000 0.0000 0.0000
```

Summary:
Fermi-level density of states   1.06 states/eV/cell
Calculated total energy   -0.7137 eV per atom
Size of the total moment   0.2219 μB/atom
ΔE_f   1.400 eV per atom
Theoretical density   2.0 g cm⁻³
Distance to the lowest polymorph of the same formula   1.366 eV/atom
Space group   No. 221

---

This record from Alexandria via LeMat-Bulk describes a relaxed structure of RbZn2Ni. The functional is GGA-PBE.

POSCAR file:
```
RbZn2Ni
1.0
-2.9873 3.0197 3.4223
1.1013 -3.4924 4.0429
5.3187 3.8705 5.5746
Ni Zn Rb
2 4 2
Direct
0.5000 0.5000 0.0000
0.2500 0.7500 0.5000
0.3749 0.1250 0.2500
0.3751 0.6250 0.2500
0.3750 0.6251 0.7500
0.8750 0.6249 0.7500
0.0000 0.0000 0.0000
0.7500 0.2500 0.5000
```

Summary:
Fermi-level density of states   4.38 states/eV/cell
Calculated total energy   -2.0896 eV per atom
Size of the total moment   0.0000 μB/atom
ΔE_f   0.235 eV per atom
Theoretical density   4.0 g cm⁻³
Distance to the lowest polymorph of the same formula   0.000 eV/atom
Space group   No. 141